(1)
# VRhC2S GGA-PBE relaxed
data_VRhC2S
_chemical_formula_sum 'V1 Rh1 C2 S1'
_cell_length_a 3.664
_cell_length_b 3.664
_cell_length_c 5.639
_cell_angle_alpha 90.00
_cell_angle_beta 90.00
_cell_angle_gamma 90.00
_symmetry_space_group_name_H-M 'P 4/m m m'
_symmetry_Int_Tables_number 123
_symmetry_space_group_name_Hall '-P 4 2'
loop_
_atom_site_label
_atom_site_type_symbol
_atom_site_fract_x
_atom_site_fract_y
_atom_site_fract_z
_atom_site_occupancy
V1 V 0.000 0.000 0.000 1
Rh1 Rh 0.000 0.000 0.500 1
C1 C 0.000 0.500 0.000 1
S1 S 0.500 0.500 0.500 1
# VASP energy: -31.1 eV per formula unit

***

(2)
# Pr4ZnCd3 GGA-PBE relaxed
data_Pr4ZnCd3
_chemical_formula_sum 'Pr4 Zn1 Cd3'
_cell_length_a 3.657
_cell_length_b 4.944
_cell_length_c 12.608
_cell_angle_alpha 90.00
_cell_angle_beta 90.00
_cell_angle_gamma 90.00
_symmetry_space_group_name_H-M 'P m m 2'
_symmetry_Int_Tables_number 25
_symmetry_space_group_name_Hall 'P 2 -2'
loop_
_atom_site_label
_atom_site_type_symbol
_atom_site_fract_x
_atom_site_fract_y
_atom_site_fract_z
_atom_site_occupancy
Pr1 Pr 0.000 0.000 0.000 1
Pr2 Pr 0.000 0.500 0.305 1
Pr3 Pr 0.500 0.000 0.486 1
Pr4 Pr 0.500 0.500 0.813 1
Zn1 Zn 0.500 0.000 0.222 1
Cd1 Cd 0.000 0.000 0.720 1
Cd2 Cd 0.000 0.500 0.582 1
Cd3 Cd 0.500 0.500 0.087 1
# relative energy among the computed polymorphs: 54 meV/atom
# VASP energy: -25.2 eV per formula unit
# formation energy from the elements: -0.259 eV/atom